The following is a DFT calculation (PBE-GGA) of LiCaCu after structural relaxation.

POSCAR file:
```
LiCaCu
1.0
6.3654 0.0000 0.0000
0.0000 5.6963 0.0000
-2.9112 0.0000 7.3049
Li Ca Cu
4 4 4
direct
0.0817 0.1040 0.1928
0.0817 0.3960 0.6928
0.9183 0.6040 0.3072
0.9183 0.8960 0.8072
0.3224 0.6142 0.1279
0.3224 0.8858 0.6279
0.6776 0.1142 0.3721
0.6776 0.3858 0.8721
0.3245 0.1133 0.9763
0.3245 0.3867 0.4763
0.6755 0.6133 0.5237
0.6755 0.8867 0.0237
```

Crystal system: monoclinic
Final energy: -2.75 eV/atom
E_form: -0.076 eV/atom
Volume: 22.073 Å³ per atom
Polymorph energy (0 for the lowest one): 0 meV per atom

***

The following is a DFT calculation (PBE-GGA) of CsBePS2 after structural relaxation.

POSCAR file:
```
CsBePS2
1.0
4.9034 0.0000 0.0000
0.0000 4.9034 0.0000
0.0000 0.0000 4.4098
Cs Be P S
1 1 1 2
direct
0.0000 0.0000 0.0000
0.5000 0.5000 0.5000
0.5000 0.5000 0.0000
0.0000 0.5000 0.5000
0.5000 0.0000 0.5000
```

Crystal system: tetragonal
Final energy: -3.47 eV/atom
Energy relative to the elements, uncorrected: 17.6 kJ per mole of atoms
Volume: 21.205 Å³ per atom
Polymorph energy (0 for the lowest one): 0 meV per atom

***

The following is a DFT calculation (PBE-GGA) of SrZn2Co2 after structural relaxation.

POSCAR file:
```
SrZn2Co2
1.0
-2.0214 2.0214 5.5035
2.0214 -2.0214 5.5035
2.0214 2.0214 -5.5035
Sr Zn Co
1 2 2
direct
0.0000 0.0000 0.0000
0.3745 0.3745 0.0000
0.6255 0.6255 0.0000
0.2500 0.7500 0.5000
0.7500 0.2500 0.5000
```

Crystal system: tetragonal
Final energy: -3.55 eV/atom
E_form: 0.140 eV/atom
Volume: 17.990 Å³ per atom
Polymorph energy (0 for the lowest one): 31 meV per atom

***

The following is a DFT calculation (PBE-GGA) of TcW after structural relaxation.

POSCAR file:
```
TcW
1.0
2.7449 0.0000 0.0000
0.0000 4.4229 0.0000
-1.0210 0.0000 5.0991
Tc W
2 2
direct
0.1593 0.2500 0.3673
0.8407 0.7500 0.6327
0.3876 0.7500 0.1320
0.6124 0.2500 0.8680
```

Crystal system: monoclinic
Final energy: -11.56 eV/atom
E_form: 0.095 eV/atom
Volume: 15.477 Å³ per atom
Polymorph energy (0 for the lowest one): 31 meV per atom

***

The following is a DFT calculation (PBE-GGA) of La4AgCCl2 after structural relaxation.

POSCAR file:
```
La4AgCCl2
1.0
7.2265 0.0000 0.0000
0.0000 4.0619 0.0000
-2.2873 0.0000 7.2540
La Ag C Cl
4 1 1 2
direct
0.2085 0.0000 0.2034
0.2317 0.5000 0.7903
0.7683 0.5000 0.2097
0.7915 0.0000 0.7966
0.0000 0.0000 0.5000
0.0000 0.5000 0.0000
0.5000 0.0000 0.0000
0.5000 0.5000 0.5000
```

Crystal system: monoclinic
Final energy: -5.30 eV/atom
Energy relative to the elements, uncorrected: -83.6 kJ per mole of atoms
Volume: 26.616 Å³ per atom

***

The following is a DFT calculation (PBE-GGA) of CaAcGa2 after structural relaxation.

POSCAR file:
```
CaAcGa2
1.0
0.0000 3.8242 3.8242
3.8242 0.0000 3.8242
3.8242 3.8242 0.0000
Ca Ac Ga
1 1 2
direct
0.0000 0.0000 0.0000
0.5000 0.5000 0.5000
0.2500 0.2500 0.2500
0.7500 0.7500 0.7500
```

Crystal system: cubic
Final energy: -3.50 eV/atom
E_form: -0.455 eV/atom
Volume: 27.963 Å³ per atom

***

The following is a DFT calculation (PBE-GGA) of KInIr after structural relaxation.

POSCAR file:
```
KInIr
1.0
3.1266 0.0000 0.0000
-1.5633 2.7078 0.0000
0.0000 0.0000 7.9282
K In Ir
1 1 1
direct
0.0000 0.0000 0.0000
0.6667 0.3333 0.3955
0.3333 0.6667 0.6642
```

Crystal system: trigonal
Final energy: -3.75 eV/atom
E_form: 0.481 eV/atom
Volume: 22.374 Å³ per atom
Polymorph energy (0 for the lowest one): 338 meV per atom

***

The following is a DFT calculation (PBE-GGA) of PuSbH after structural relaxation.

POSCAR file:
```
PuSbH
1.0
4.1612 0.0000 0.0000
0.0000 4.1612 0.0000
0.0000 0.0000 6.4735
Pu Sb H
2 2 2
direct
0.2500 0.2500 0.1516
0.7500 0.7500 0.8484
0.2500 0.2500 0.6509
0.7500 0.7500 0.3491
0.2500 0.7500 0.0000
0.7500 0.2500 0.0000
```

Crystal system: tetragonal
Final energy: -7.69 eV/atom
Volume: 18.682 Å³ per atom
Polymorph energy (0 for the lowest one): 28 meV per atom